Record 1
Density functional theory data (PBE) for crystalline NiRu2Pb at its relaxed geometry.

Cell lengths 2.9015, 4.4795, 4.9636 Å; angles 90.00, 94.12, 90.00 degrees
With the nearest neighbours (Å) after each atom.
Space group P2/m (No. 10)
Symmetry-distinct sites (fractional):
Ni1 0.0000 0.0000 0.0000  4 Ru 2.60, 2 Pb 2.78, 2 Ni 2.90
Ru1 0.2374 0.5000 0.7848  2 Ru 2.53-2.62, 2 Ni 2.60, 2 Pb 2.78
Pb1 0.5000 0.0000 0.5000  4 Ni 2.78-2.96, 4 Ru 2.78, 2 Pb 2.90

Values from the calculation:
- VASP energy (eV per atom) = -6.4444

=====

Record 2
Density functional theory data (PBE) for crystalline NiRuPb at its relaxed geometry.

Cell lengths 3.2034, 3.2034, 9.8229 Å; angles 90.00, 90.00, 90.00 degrees
With the nearest neighbours (Å) after each atom.
Space group I4mm (No. 107)
Symmetry-distinct sites (fractional):
Ni1 0.0000 0.0000 0.0000  4 Ru 2.53
Ru1 0.0000 0.0000 0.3861  4 Ni 2.53
Pb1 0.0000 0.0000 0.6857  5 Ni 2.91-3.09, 5 Ru 2.94-3.00, 4 Pb 3.20

Values from the calculation:
- VASP energy (eV per atom) = -5.7602

=====

Record 3
Density functional theory data (PBE) for crystalline Ni2RuPb at its relaxed geometry.

Cell lengths 4.0191, 4.0191, 7.2693 Å; angles 90.00, 90.00, 90.00 degrees
With the nearest neighbours (Å) after each atom.
Space group I4/mmm (No. 139)
Symmetry-distinct sites (fractional):
Ni1 0.0000 0.5000 0.2500  4 Pb 2.71, 4 Ru 2.71, 4 Ni 2.84
Ru1 0.0000 0.0000 0.0000  8 Ni 2.71, 4 Pb 2.84
Pb1 0.0000 0.0000 0.5000  8 Ni 2.71, 4 Ru 2.84

Values from the calculation:
- VASP energy (eV per atom) = -5.7640

=====

Record 4
Density functional theory data (PBE) for crystalline Ni2RuPb at its relaxed geometry.

Cell lengths 2.9966, 4.2814, 4.6522 Å; angles 90.00, 90.00, 90.00 degrees
With the nearest neighbours (Å) after each atom.
Space group Pmm2 (No. 25)
Symmetry-distinct sites (fractional):
Ni1 0.0000 0.0000 0.0000  2 Ru 2.56, 2 Ni 2.60, 4 Pb 2.73
Ni2 0.0000 0.5000 0.3183  2 Ni 2.60, 4 Ru 2.68, 4 Pb 2.73-2.80
Ru1 0.5000 0.0000 0.4461  6 Ni 2.56-2.68, 2 Pb 2.78
Pb1 0.5000 0.5000 0.8278  8 Ni 2.73-2.80, 2 Ru 2.78, 2 Pb 3.00

Values from the calculation:
- VASP energy (eV per atom) = -5.7490

=====

Record 5
Density functional theory data (PBE) for crystalline NiRu2Pb at its relaxed geometry.

Cell lengths 3.0017, 3.0017, 25.0301 Å; angles 90.00, 90.00, 120.00 degrees
With the nearest neighbours (Å) after each atom.
Space group R-3m (No. 166, hexagonal axes)
Symmetry-distinct sites (fractional):
Ni1 0.0000 0.0000 0.0000  6 Ru 2.53
Ru1 0.0000 0.0000 0.2594  3 Ni 2.53
Pb1 0.0000 0.0000 0.5000  6 Ru 2.90, 6 Pb 3.00

Values from the calculation:
- VASP energy (eV per atom) = -6.2918

=====

Record 6
Density functional theory data (PBE) for crystalline NiRu2Pb at its relaxed geometry.

Cell lengths 3.9426, 3.9426, 18.2139 Å; angles 90.00, 90.00, 90.00 degrees
With the nearest neighbours (Å) after each atom.
Space group I-42d (No. 122)
Symmetry-distinct sites (fractional):
Ni1 0.0000 0.0000 0.0000  4 Ru 2.57, 4 Pb 2.79
Ru1 0.1695 0.2500 0.1250  2 Ru 2.38, 2 Ni 2.57
Pb1 0.0000 0.0000 0.5000  4 Ni 2.79, 4 Ru 2.80

Values from the calculation:
- VASP energy (eV per atom) = -6.3676

=====

Record 7
Density functional theory data (PBE) for crystalline Ni2RuPb at its relaxed geometry.

Cell lengths 3.8736, 3.8736, 17.7896 Å; angles 90.00, 90.00, 90.00 degrees
With the nearest neighbours (Å) after each atom.
Space group I-42d (No. 122)
Symmetry-distinct sites (fractional):
Ni1 0.1966 0.2500 0.1250  2 Ni 2.46, 2 Ru 2.54, 2 Pb 2.70
Ru1 0.0000 0.0000 0.0000  4 Ni 2.54, 4 Pb 2.74
Pb1 0.0000 0.0000 0.5000  4 Ni 2.70, 4 Ru 2.74

Values from the calculation:
- VASP energy (eV per atom) = -5.4639

=====

Record 8
Density functional theory data (PBE) for crystalline NiRuPb2 at its relaxed geometry.

Cell lengths 3.1986, 3.1986, 8.3676 Å; angles 90.00, 90.00, 90.00 degrees
With the nearest neighbours (Å) after each atom.
Space group P4mm (No. 99)
Symmetry-distinct sites (fractional):
Ni1 0.0000 0.0000 0.0000  4 Ru 2.54
Ru1 0.5000 0.5000 0.8608  4 Ni 2.54
Pb1 0.0000 0.0000 0.6253  4 Ru 3.00, 1 Ni 3.14, 4 Pb 3.20
Pb2 0.5000 0.5000 0.2154  4 Ni 2.89, 1 Ru 2.97, 4 Pb 3.20

Values from the calculation:
- VASP energy (eV per atom) = -5.3250

=====

Record 9
Density functional theory data (PBE) for crystalline NiRuPb4 at its relaxed geometry.

Cell lengths 8.7637, 8.7637, 8.7637 Å; angles 90.00, 90.00, 90.00 degrees
With the nearest neighbours (Å) after each atom.
Space group F-43m (No. 216)
Symmetry-distinct sites (fractional):
Ni1 0.0000 0.0000 0.0000  12 Pb 3.63, 4 Ru 3.79
Ru1 0.2500 0.2500 0.2500  12 Pb 3.63, 4 Ni 3.79
Pb1 0.1248 0.1248 0.6248  6 Pb 3.09-3.10

Values from the calculation:
- VASP energy (eV per atom) = -3.8042

=====

Record 10
Density functional theory data (PBE) for crystalline NiRu2Pb at its relaxed geometry.

Cell lengths 3.9933, 3.9933, 7.7443 Å; angles 90.00, 90.00, 90.00 degrees
With the nearest neighbours (Å) after each atom.
Space group I-4m2 (No. 119)
Symmetry-distinct sites (fractional):
Ni1 0.0000 0.0000 0.0000  4 Pb 2.78, 8 Ru 2.78-2.82
Ru1 0.0000 0.0000 0.5000  4 Pb 2.78, 4 Ru 2.78, 4 Ni 2.82
Ru2 0.0000 0.5000 0.2500  4 Ru 2.78, 4 Ni 2.78, 4 Pb 2.82
Pb1 0.0000 0.5000 0.7500  8 Ru 2.78-2.82, 4 Ni 2.78

Values from the calculation:
- VASP energy (eV per atom) = -6.5855

=====

Record 11
Density functional theory data (PBE) for crystalline Ni2RuPb at its relaxed geometry.

Cell lengths 2.9266, 2.9266, 25.6258 Å; angles 90.00, 90.00, 120.00 degrees
With the nearest neighbours (Å) after each atom.
Space group R-3m (No. 166, hexagonal axes)
Symmetry-distinct sites (fractional):
Ni1 0.0000 0.0000 0.2417  3 Ru 2.56
Ru1 0.0000 0.0000 0.5000  6 Ni 2.56
Pb1 0.0000 0.0000 0.0000  6 Ni 2.89, 6 Pb 2.93

Values from the calculation:
- VASP energy (eV per atom) = -5.5332

=====

Record 12
Density functional theory data (PBE) for crystalline NiRuPb2 at its relaxed geometry.

Cell lengths 3.3606, 3.3541, 6.6398 Å; angles 90.00, 91.78, 90.00 degrees
With the nearest neighbours (Å) after each atom.
Space group P2/m (No. 10)
Symmetry-distinct sites (fractional):
Ni1 0.0000 0.0000 0.0000  8 Pb 2.83-2.93
Ru1 0.0000 0.0000 0.5000  8 Pb 2.90-2.92
Pb1 0.4904 0.5000 0.2457  4 Ni 2.83-2.93, 4 Ru 2.90-2.92

Values from the calculation:
- VASP energy (eV per atom) = -5.1778

=====

| no. | formation energy from the elements (eV per formula unit) | V (Å³ per cell) |
| --- | --- | --- |
| 1 | 2.3 | 64.3 |
| 2 | 1.5 | 100.8 |
| 3 | 1.5 | 117.4 |
| 4 | 1.6 | 59.7 |
| 5 | 2.9 | 195.3 |
| 6 | 2.6 | 283.1 |
| 7 | 2.7 | 266.9 |
| 8 | 1.2 | 85.6 |
| 9 | 7.1 | 673.1 |
| 10 | 1.7 | 123.5 |
| 11 | 2.4 | 190.1 |
| 12 | 1.8 | 74.8 |